PaFeReP2 | Alexandria via LeMat-Bulk | PBE | optimized geometry; SG = No. 119; theoretical density = 11.565 g/cm³; formation energy = -70 kJ per mole of atoms; crystal system = tetragonal; energy = -8.974 eV/atom
1.0
4.0179 0.0000 0.0000
0.0000 4.0179 0.0000
-2.0090 -2.0090 4.7585
P Pa Fe Re
2 1 1 1
Direct
0.6280 0.6280 0.2560 P
0.3720 0.3720 0.7440 P
0.0000 0.0000 0.0000 Pa
0.7500 0.2500 0.5000 Fe
0.2500 0.7500 0.5000 Re